No. 1
This record from Alexandria via LeMat-Bulk describes a geometry-optimized TmMnSn2 structure. The functional is PBE.

The structure in CIF format:
```
data_TmMnSn2
_space_group_name_H-M_alt 'R -3 m'
_space_group_IT_number 166
_space_group_name_Hall '-R 3 2"'
_cell_length_a 4.4604
_cell_length_b 4.4604
_cell_length_c 15.9585
_cell_angle_alpha 90.00
_cell_angle_beta 90.00
_cell_angle_gamma 120.00
loop_
_atom_site_label
_atom_site_fract_x
_atom_site_fract_y
_atom_site_fract_z
Tm1 0.0000 0.0000 0.0000
Mn1 0.0000 0.0000 0.5000
Sn1 0.0000 0.0000 0.2292
```

Output
- V (Å³/cell) = 275.0
- calculated total energy (eV per cell) = -67.5
- DFT formation energy (meV/atom) = -216

No. 2
This record from Alexandria via LeMat-Bulk describes a geometry-optimized GdErAlRu structure. The functional is PBE.

The structure in CIF format:
```
data_GdErAlRu
_space_group_name_H-M_alt 'F -4 3 m'
_space_group_IT_number 216
_space_group_name_Hall 'F -4 2 3'
_cell_length_a 7.0041
_cell_length_b 7.0041
_cell_length_c 7.0041
_cell_angle_alpha 90.00
_cell_angle_beta 90.00
_cell_angle_gamma 90.00
loop_
_atom_site_label
_atom_site_fract_x
_atom_site_fract_y
_atom_site_fract_z
Gd1 0.0000 0.0000 0.0000
Er1 0.0000 0.0000 0.5000
Al1 0.2500 0.2500 0.2500
Ru1 0.2500 0.2500 0.7500
```

Output
- V (Å³/cell) = 343.6
- calculated total energy (eV per cell) = -132.2
- DFT formation energy (meV/atom) = -347